Here is a relaxed structure of TcSbRu2 from the Alexandria database. Energies are from GGA-PBE.

Size of the total moment = 0.000 μB per formula unit
Raw formation energy = 0.197 eV per atom
V = 15.76 Å³/atom
Space-group type = P4/mmm (123)

Unit cell a=2.9416 b=2.9416 c=7.2852 alpha=90.00 beta=90.00 gamma=90.00
Atoms (fractional coordinates):
1 Tc 0.0000 0.0000 0.0000
2 Sb 0.0000 0.0000 0.5000
3 Ru 0.5000 0.5000 0.2395
4 Ru 0.5000 0.5000 0.7605

***

Here is a relaxed structure of KYZn2Ag from the Alexandria database. Energies are from GGA-PBE.

Size of the total moment = 0.000 μB per formula unit
Energy of formation = 0.430 eV per atom
V = 37.19 Å³/atom
Space-group type = P4/mmm (123)

Unit cell a=5.7075 b=5.7075 c=5.7078 alpha=90.00 beta=90.00 gamma=90.00
Atoms (fractional coordinates):
1 K 0.0000 0.0000 0.0000
2 Y 0.5000 0.5000 0.5000
3 Zn 0.0000 0.5000 0.5000
4 Zn 0.5000 0.0000 0.5000
5 Ag 0.5000 0.5000 0.0000

***

Here is a relaxed structure of Zr3AlCo8 from the Alexandria database. Energies are from GGA-PBE.

Size of the total moment = 5.065 μB per formula unit
Energy of formation = -0.323 eV per atom
V = 13.40 Å³/atom
Space-group type = R3m (160)

Unit cell a=8.4072 b=8.4072 c=8.4072 alpha=33.45 beta=33.45 gamma=33.45
Atoms (fractional coordinates):
1 Zr 0.0000 0.0000 0.0000
2 Zr 0.1278 0.1278 0.1278
3 Zr 0.6177 0.6177 0.6177
4 Al 0.4956 0.4956 0.4956
5 Co 0.0595 0.0595 0.5620
6 Co 0.0595 0.5620 0.0595
7 Co 0.0644 0.5608 0.5608
8 Co 0.3115 0.3115 0.3115
9 Co 0.5608 0.0644 0.5608
10 Co 0.5608 0.5608 0.0644
11 Co 0.5620 0.0595 0.0595
12 Co 0.8118 0.8118 0.8118

***

Here is a relaxed structure of Tb2Y6HoEr3 from the Alexandria database. Energies are from GGA-PBE.

Size of the total moment = 0.000 μB per formula unit
Energy of formation = 0.023 eV per atom
V = 31.60 Å³/atom
Space-group type = C2/m (12)

Unit cell a=6.1446 b=6.1446 c=11.7671 alpha=94.98 beta=94.98 gamma=119.94
Atoms (fractional coordinates):
1 Tb 0.1666 0.8334 0.0000
2 Tb 0.8334 0.1666 0.0000
3 Y 0.0828 0.4160 0.7490
4 Y 0.2508 0.2508 0.2512
5 Y 0.4160 0.0828 0.7490
6 Y 0.5840 0.9172 0.2510
7 Y 0.7492 0.7492 0.7488
8 Y 0.9172 0.5840 0.2510
9 Ho 0.5000 0.5000 0.0000
10 Er 0.0000 0.0000 0.5000
11 Er 0.3334 0.6666 0.5000
12 Er 0.6666 0.3334 0.5000

***

no.,D(E_F) (states/eV per atom)
1,0.8811
2,0.7061
3,1.3782
4,1.4587